Entry 1:
NbCuSiPd | the Open Quantum Materials Database | PBE | relaxed; raw total energy = -25.1 eV/cell
1.0
0.0000 3.1018 3.1018
3.1018 0.0000 3.1018
3.1018 3.1018 0.0000
Si Nb Pd Cu
1 1 1 1
Cartesian
0.0000 0.0000 0.0000
1.5509 1.5509 1.5509
3.1018 3.1018 3.1018
4.6526 4.6526 4.6526

***

Entry 2:
NbCuSiPd | the Open Quantum Materials Database | PBE | relaxed; raw total energy = -24.5 eV/cell
1.0
1.1630 -2.4154 -3.4486
1.2852 -4.1364 0.5643
-2.5570 -3.2822 -1.3297
Nb Cu Si Pd
1 1 1 1
Cartesian
-0.0544 -4.9170 -2.1070
-0.0816 -7.3755 -3.1605
0.0000 0.0000 0.0000
-0.0272 -2.4585 -1.0535

***

Entry 3:
NbCuSnPd | the Open Quantum Materials Database | PBE | relaxed; raw total energy = -23.1 eV/cell
1.0
-2.6431 -2.5965 -2.6928
-4.5597 0.2063 0.3813
-2.4904 1.9381 -3.3197
Pd Nb Cu Sn
1 1 1 1
Cartesian
-4.8466 -0.2261 -2.8156
-2.4233 -0.1130 -1.4078
-7.2699 -0.3391 -4.2234
0.0000 0.0000 0.0000

***

Please write out number 3 again, unchanged.
NbCuSnPd | the Open Quantum Materials Database | PBE | relaxed; raw total energy = -23.1 eV/cell
1.0
-2.6431 -2.5965 -2.6928
-4.5597 0.2063 0.3813
-2.4904 1.9381 -3.3197
Pd Nb Cu Sn
1 1 1 1
Cartesian
-4.8466 -0.2261 -2.8156
-2.4233 -0.1130 -1.4078
-7.2699 -0.3391 -4.2234
0.0000 0.0000 0.0000

***

Please write out number 3 again, unchanged.
NbCuSnPd | the Open Quantum Materials Database | PBE | relaxed; raw total energy = -23.1 eV/cell
1.0
-2.6431 -2.5965 -2.6928
-4.5597 0.2063 0.3813
-2.4904 1.9381 -3.3197
Pd Nb Cu Sn
1 1 1 1
Cartesian
-4.8466 -0.2261 -2.8156
-2.4233 -0.1130 -1.4078
-7.2699 -0.3391 -4.2234
0.0000 0.0000 0.0000

***

Copy entry 3 word for word.
NbCuSnPd | the Open Quantum Materials Database | PBE | relaxed; raw total energy = -23.1 eV/cell
1.0
-2.6431 -2.5965 -2.6928
-4.5597 0.2063 0.3813
-2.4904 1.9381 -3.3197
Pd Nb Cu Sn
1 1 1 1
Cartesian
-4.8466 -0.2261 -2.8156
-2.4233 -0.1130 -1.4078
-7.2699 -0.3391 -4.2234
0.0000 0.0000 0.0000

***

Question: Which of these has the highest raw total energy?
Answer: NbCuSnPd